## WCO3 (PBE+U)

Data for WCO3 after structural relaxation.

theoretical density: 9.409 g cm⁻³
raw total energy: -5.64 eV/atom
N(E_F): 0.235 states/eV per atom

abc: 3.504 3.504 3.504
angles: 90.00 90.00 90.00
Element x y z (fractional)
W  0.000  0.000  0.000
C  0.500  0.500  0.500
O  0.000  0.500  0.500
O  0.500  0.000  0.500
O  0.500  0.500  0.000